Record 1
A relaxed structure of Co2NiBr. Source: the Alexandria database, functional GGA-PBE.

Output
energy above the most stable polymorph in this dataset	121.7	kJ/mol of formula units
energy relative to the elements, uncorrected	277	kJ/mol of formula units

a b c (Å): 3.0250 4.1467 5.2530
angles (deg): 54.01 90.00 90.00
Each line ends with the local moment (μB).
Element x y z (fractional)
Br (0.0000, 0.0000, 0.5000)  0.10
Co (0.5000, 0.5000, 0.0000)  1.73
Co (0.0000, 0.0000, 0.0000)  1.75
Ni (0.5000, 0.5000, 0.5000)  0.44



Record 2
A relaxed structure of PuZr2Pa. Source: the Alexandria database, functional GGA-PBE.

Output
energy above the most stable polymorph in this dataset	31.5	kJ/mol of formula units
formation energy from the elements	13.4	kJ per mole of atoms

a b c (Å): 3.1348 3.1348 9.8610
angles (deg): 90.00 90.00 90.00
Each line ends with the local moment (μB).
Element x y z (fractional)
Pa (0.5000, 0.5000, 0.5000)  0.07
Pu (0.5000, 0.5000, 0.0000)  5.23
Zr (0.0000, 0.0000, 0.7517)  -0.12
Zr (0.0000, 0.0000, 0.2483)  -0.12



Record 3
A relaxed structure of Li3Ac2ThTe6. Source: the Alexandria database, functional GGA-PBE.

Output
energy relative to the elements, uncorrected	-1440	kJ/mol of formula units

a b c (Å): 7.9072 7.9072 7.6321
angles (deg): 99.95 99.95 120.01
Element x y z (fractional)
Ac (0.3324, 0.6676, 0.0000)
Ac (0.6676, 0.3324, 0.0000)
Te (0.2294, 0.2294, 0.7323)
Te (0.0916, 0.4093, 0.2729)
Te (0.4093, 0.0916, 0.2729)
Te (0.9084, 0.5907, 0.7271)
Te (0.7706, 0.7706, 0.2677)
Te (0.5907, 0.9084, 0.7271)
Li (0.5000, 0.5000, 0.5000)
Li (0.1640, 0.8360, 0.5000)
Li (0.8360, 0.1640, 0.5000)
Th (0.0000, 0.0000, 0.0000)



Record 4
A relaxed structure of Na3Tl3In2. Source: the Alexandria database, functional GGA-PBE.

Output
energy above the most stable polymorph in this dataset	17.8	kJ/mol of formula units
formation energy from the elements	-7.0	kJ per mole of atoms

a b c (Å): 5.0498 6.4445 15.9551
angles (deg): 90.00 90.00 113.07
Element x y z (fractional)
In (0.7763, 0.5527, 0.6157)
In (0.2237, 0.4473, 0.3843)
In (0.7763, 0.5527, 0.8843)
In (0.2237, 0.4473, 0.1157)
Tl (0.6187, 0.2374, 0.0442)
Tl (0.6187, 0.2374, 0.4558)
Tl (0.3813, 0.7626, 0.5442)
Tl (0.4109, 0.8218, 0.2500)
Tl (0.5891, 0.1782, 0.7500)
Tl (0.3813, 0.7626, 0.9558)
Na (0.9295, 0.8591, 0.1049)
Na (0.0705, 0.1409, 0.6049)
Na (0.9295, 0.8591, 0.3951)
Na (0.3174, 0.6349, 0.7500)
Na (0.0705, 0.1409, 0.8951)
Na (0.6826, 0.3651, 0.2500)



Record 5
A relaxed structure of Ce9Pu2In3. Source: the Alexandria database, functional GGA-PBE.

Output
formation energy from the elements	-22.1	kJ per mole of atoms

a b c (Å): 9.0784 9.0784 9.0784
angles (deg): 86.56 86.56 86.56
Element x y z (fractional)
Ce (0.2470, 0.5893, 0.4218)
Ce (0.4218, 0.2470, 0.5893)
Ce (0.5893, 0.4218, 0.2470)
Ce (0.2500, 0.4084, 0.0916)
Ce (0.9107, 0.2530, 0.0782)
Ce (0.7470, 0.9218, 0.0893)
Ce (0.4107, 0.5782, 0.7530)
Ce (0.5916, 0.9084, 0.7500)
Ce (0.0916, 0.2500, 0.4084)
Ce (0.4084, 0.0916, 0.2500)
Ce (0.5782, 0.7530, 0.4107)
Ce (0.9218, 0.0893, 0.7470)
Ce (0.9084, 0.7500, 0.5916)
Ce (0.2530, 0.0782, 0.9107)
Ce (0.7500, 0.5916, 0.9084)
Ce (0.0782, 0.9107, 0.2530)
Ce (0.0893, 0.7470, 0.9218)
Ce (0.7530, 0.4107, 0.5782)
In (0.7500, 0.0842, 0.4158)
In (0.5842, 0.2500, 0.9158)
In (0.2500, 0.9158, 0.5842)
In (0.0842, 0.4158, 0.7500)
In (0.9158, 0.5842, 0.2500)
In (0.4158, 0.7500, 0.0842)
Pu (0.1508, 0.1508, 0.1508)
Pu (0.8492, 0.8492, 0.8492)
Pu (0.3492, 0.3492, 0.3492)
Pu (0.6508, 0.6508, 0.6508)



Record 6
A relaxed structure of LiBe3. Source: the Alexandria database, functional GGA-PBE.

Output
energy above the most stable polymorph in this dataset	75.3	kJ/mol of formula units
formation energy from the elements	21.6	kJ per mole of atoms

a b c (Å): 7.1847 7.1847 7.1847
angles (deg): 153.66 153.66 37.59
Element x y z (fractional)
Be (0.7500, 0.2500, 0.5000)
Be (0.5000, 0.0000, 0.5000)
Be (0.2500, 0.7500, 0.5000)
Be (0.1287, 0.1287, 0.0000)
Be (0.0000, 0.5000, 0.5000)
Be (0.8713, 0.8713, 0.0000)
Li (0.6242, 0.6242, 0.0000)
Li (0.3758, 0.3758, 0.0000)



Record 7
A relaxed structure of Mg2Hg5Pb. Source: the Alexandria database, functional GGA-PBE.

Output
formation energy from the elements	-5.1	kJ per mole of atoms

a b c (Å): 3.6241 8.5900 12.6459
angles (deg): 90.00 90.00 90.00
Element x y z (fractional)
Hg (0.0000, 0.0000, 0.0000)
Hg (0.5000, 0.2537, 0.3713)
Hg (0.5000, 0.7537, 0.1287)
Hg (0.0000, 0.0004, 0.7522)
Hg (0.0000, 0.4996, 0.2522)
Hg (0.0000, 0.5000, 0.5000)
Hg (0.0000, 0.5004, 0.7478)
Hg (0.0000, 0.9996, 0.2478)
Hg (0.5000, 0.2463, 0.8713)
Hg (0.5000, 0.7463, 0.6287)
Pb (0.0000, 0.5000, 0.0000)
Pb (0.0000, 0.0000, 0.5000)
Mg (0.5000, 0.2655, 0.6293)
Mg (0.5000, 0.2345, 0.1293)
Mg (0.5000, 0.7345, 0.3707)
Mg (0.5000, 0.7655, 0.8707)



Record 8
A relaxed structure of Ti3CdMo2. Source: the Alexandria database, functional GGA-PBE.

Output
formation energy from the elements	-9.6	kJ per mole of atoms

a b c (Å): 3.2368 3.2368 9.7581
angles (deg): 90.00 90.00 90.00
Element x y z (fractional)
Ti (0.0000, 0.0000, 0.6980)
Ti (0.0000, 0.0000, 0.0000)
Ti (0.0000, 0.0000, 0.3020)
Mo (0.5000, 0.5000, 0.1630)
Mo (0.5000, 0.5000, 0.8370)
Cd (0.5000, 0.5000, 0.5000)



Record 9
A relaxed structure of La6TcAu2O. Source: the Alexandria database, functional GGA-PBE.

Output
energy relative to the elements, uncorrected	-826	kJ/mol of formula units

a b c (Å): 6.8873 7.7138 10.5443
angles (deg): 90.00 89.99 90.00
Element x y z (fractional)
Au (0.0568, 0.8966, 0.2438)
Au (0.9432, 0.1034, 0.7562)
Au (0.5568, 0.6034, 0.7438)
Au (0.4432, 0.3966, 0.2562)
O (0.5000, 0.0000, 0.5000)
O (0.0000, 0.5000, 0.0000)
La (0.3767, 0.9735, 0.7443)
La (0.3357, 0.6948, 0.4423)
La (0.8357, 0.8052, 0.9423)
La (0.1643, 0.1948, 0.0577)
La (0.1233, 0.4735, 0.7557)
La (0.6643, 0.3052, 0.5577)
La (0.3150, 0.6784, 0.0564)
La (0.6850, 0.3216, 0.9436)
La (0.1850, 0.1784, 0.4436)
La (0.8150, 0.8216, 0.5564)
La (0.8767, 0.5265, 0.2443)
La (0.6233, 0.0265, 0.2557)
Tc (0.0000, 0.5000, 0.5000)
Tc (0.5000, 0.0000, 0.0000)



Record 10
A relaxed structure of AlTc5. Source: the Alexandria database, functional GGA-PBE.

Output
energy above the most stable polymorph in this dataset	297.4	kJ/mol of formula units
formation energy from the elements	37.4	kJ per mole of atoms

a b c (Å): 4.9310 4.9310 4.6744
angles (deg): 90.00 90.00 120.00
Element x y z (fractional)
Tc (0.5000, 0.5000, 0.5000)
Tc (0.6667, 0.3333, 0.0000)
Tc (0.5000, 0.0000, 0.5000)
Tc (0.3333, 0.6667, 0.0000)
Tc (0.0000, 0.5000, 0.5000)
Al (0.0000, 0.0000, 0.0000)



Record 11
A relaxed structure of PrHoErPu. Source: the Alexandria database, functional GGA-PBE.

Output
formation energy from the elements	20.2	kJ per mole of atoms

a b c (Å): 5.6347 5.6347 5.6347
angles (deg): 60.00 60.00 60.00
Each line ends with the local moment (μB).
Element x y z (fractional)
Ho (0.5000, 0.5000, 0.5000)  0.16
Pu (0.7500, 0.7500, 0.7500)  5.53
Pr (0.2500, 0.2500, 0.2500)  -0.01
Er (0.0000, 0.0000, 0.0000)  0.15



Record 12
A relaxed structure of Sr4MgMo. Source: the Alexandria database, functional GGA-PBE.

Output
formation energy from the elements	98.3	kJ per mole of atoms

a b c (Å): 7.0982 7.0982 7.0982
angles (deg): 60.00 60.00 60.00
Each line ends with the local moment (μB).
Element x y z (fractional)
Sr (0.3746, 0.3746, 0.8761)  -0.04
Sr (0.3746, 0.3746, 0.3746)  -0.04
Sr (0.8761, 0.3746, 0.3746)  -0.04
Sr (0.3746, 0.8761, 0.3746)  -0.04
Mg (0.7500, 0.7500, 0.7500)  -0.01
Mo (0.0000, 0.0000, 0.0000)  3.51